Record 1
Density functional theory data (GGA-PBE) for crystalline HgRuI2O at its relaxed geometry.

Results
total moment: 3.2 μB per formula unit
raw formation energy: 0.9547 eV per atom
relative energy among the computed polymorphs: 1088 meV per atom
total energy: -2.57 eV/atom

a = 5.9647 Å, b = 5.9647 Å, c = 4.0230 Å
α = 90.00°, β = 90.00°, γ = 90.00°
Space group P4/mmm (No. 123)
Asymmetric unit:
Hg 0.0000 0.0000 0.0000 [1 per cell]
Ru 0.5000 0.5000 0.5000 [1 per cell]
I 0.0000 0.5000 0.0000 [2 per cell]
O 0.0000 0.0000 0.5000 [1 per cell]

Record 2
Density functional theory data (GGA-PBE) for crystalline HgRuIO2 at its relaxed geometry.

Results
total moment: 0.0 μB per formula unit
raw formation energy: -0.1321 eV per atom
relative energy among the computed polymorphs: 0 meV per atom
total energy: -4.34 eV/atom

a = 3.9963 Å, b = 3.9963 Å, c = 5.7277 Å
α = 90.00°, β = 90.00°, γ = 90.00°
Space group P4/mmm (No. 123)
Asymmetric unit:
Hg 0.0000 0.0000 0.0000 [1 per cell]
Ru 0.5000 0.5000 0.5000 [1 per cell]
I 0.5000 0.5000 0.0000 [1 per cell]
O 0.0000 0.5000 0.5000 [2 per cell]